Here is a relaxed La2SeBr crystal from the Alexandria database. Energies are from GGA-PBEsol.

Unit cell a=4.2510 b=4.2510 c=28.5236 alpha=90.00 beta=90.00 gamma=120.00
Space group R3m (No. 160, hexagonal axes)
Unique sites:
1 La 0.0000 0.0000 0.0000
2 La 0.0000 0.0000 0.2199
3 Se 0.0000 0.0000 0.7177
4 Br 0.0000 0.0000 0.4928

Calculated values
The final energy comes out at -5.220 eV/atom. The value obtained for the calculated density is 4.87 g cm⁻³. The calculation puts the relative energy among the computed polymorphs at 225 kJ/mol of formula units. The volume comes out at 37.20 Å³ per atom.



Here is a relaxed Li4MnCo2NiO8 crystal from the Alexandria database. Energies are from GGA-PBEsol.

Unit cell a=4.963 b=2.815 c=9.413 alpha=90.00 beta=99.55 gamma=90.00
Space group P2/m (No. 10)
Unique sites:
1 Li 0.000 0.000 0.000
2 Li 0.236 0.500 0.254
3 Li 0.500 0.000 0.500
4 Mn 0.500 0.500 0.000
5 Co 0.264 0.000 0.751
6 Ni 0.000 0.500 0.500
7 O 0.077 0.000 0.369
8 O 0.159 0.500 0.872
9 O 0.373 0.500 0.639
10 O 0.386 0.000 0.117

Calculated values
The final energy comes out at -6.628 eV/atom. The value obtained for the calculated density is 4.96 g cm⁻³. The calculation puts the relative energy among the computed polymorphs at 17 kJ/mol of formula units. The volume comes out at 8.11 Å³ per atom.



Here is a relaxed ScAl2Ir crystal from the Alexandria database. Energies are from GGA-PBEsol.

Unit cell a=8.671 b=2.984 c=5.087 alpha=90.00 beta=99.78 gamma=90.00
Space group C2/m (No. 12)
Unique sites:
1 Sc 0.000 0.000 0.000
2 Al 0.236 0.000 0.709
3 Ir 0.000 0.500 0.500

Calculated values
The final energy comes out at -6.736 eV/atom. The formation energy is -0.583 eV per atom. The value obtained for the calculated density is 7.45 g cm⁻³. The volume comes out at 16.21 Å³ per atom.



Here is a relaxed Li2B3PO8 crystal from the Alexandria database. Energies are from GGA-PBEsol.

Unit cell a=8.727 b=10.727 c=12.895 alpha=91.29 beta=90.63 gamma=90.15
Space group P-1 (No. 2)
Unique sites:
1 Li 0.067 0.458 0.084
2 Li 0.137 0.959 0.489
3 Li 0.235 0.443 0.673
4 Li 0.243 0.956 0.172
5 Li 0.264 0.669 0.896
6 Li 0.283 0.225 0.462
7 Li 0.363 0.731 0.238
8 Li 0.382 0.153 0.784
9 B 0.046 0.882 0.840
10 B 0.056 0.412 0.378
11 B 0.092 0.614 0.291
12 B 0.108 0.107 0.853
13 B 0.188 0.697 0.576
14 B 0.197 0.240 0.147
15 B 0.302 0.947 0.888
16 B 0.312 0.489 0.354
17 B 0.380 0.389 0.073
18 B 0.407 0.840 0.555
19 B 0.445 0.618 0.600
20 B 0.449 0.172 0.105
21 P 0.091 0.194 0.643
22 P 0.092 0.707 0.092
23 P 0.403 0.432 0.862
24 P 0.421 0.973 0.372
25 O 0.003 0.998 0.161
26 O 0.004 0.483 0.662
27 O 0.032 0.681 0.584
28 O 0.048 0.204 0.922
29 O 0.048 0.219 0.176
30 O 0.052 0.080 0.578
31 O 0.053 0.609 0.178
32 O 0.065 0.738 0.335
33 O 0.100 0.624 0.994
34 O 0.157 0.156 0.752
35 O 0.200 0.851 0.860
36 O 0.210 0.280 0.598
37 O 0.214 0.394 0.384
38 O 0.233 0.782 0.120
39 O 0.240 0.360 0.133
40 O 0.243 0.811 0.555
41 O 0.254 0.066 0.898
42 O 0.256 0.592 0.308
43 O 0.282 0.048 0.404
44 O 0.287 0.596 0.590
45 O 0.298 0.524 0.809
46 O 0.299 0.143 0.133
47 O 0.325 0.394 0.966
48 O 0.412 0.909 0.265
49 O 0.431 0.942 0.630
50 O 0.435 0.317 0.796
51 O 0.436 0.509 0.109
52 O 0.454 0.927 0.901
53 O 0.458 0.867 0.450
54 O 0.467 0.482 0.373
55 O 0.496 0.290 0.086
56 O 0.497 0.267 0.414

Calculated values
The final energy comes out at -7.608 eV/atom. The value obtained for the calculated density is 2.26 g cm⁻³. The volume comes out at 10.77 Å³ per atom.



Here is a relaxed Cs2InAuI6 crystal from the Alexandria database. Energies are from GGA-PBEsol.

Unit cell a=11.672 b=11.672 c=11.672 alpha=90.00 beta=90.00 gamma=90.00
Space group Fm-3m (No. 225)
Unique sites:
1 Cs 0.250 0.250 0.250
2 In 0.000 0.000 0.000
3 Au 0.000 0.000 0.500
4 I 0.000 0.000 0.254

Calculated values
The final energy comes out at -2.734 eV/atom. The value obtained for the calculated density is 5.59 g cm⁻³. The volume comes out at 39.76 Å³ per atom.



Here is a relaxed AlCu3 crystal from the Alexandria database. Energies are from GGA-PBEsol.

Unit cell a=2.681 b=4.134 c=4.326 alpha=90.00 beta=90.00 gamma=90.00
Space group Pmm2 (No. 25)
Unique sites:
1 Al 0.000 0.000 0.000
2 Cu 0.000 0.500 0.362
3 Cu 0.500 0.000 0.501
4 Cu 0.500 0.500 0.858

Calculated values
The final energy comes out at -4.428 eV/atom. The formation energy is -0.154 eV per atom. The value obtained for the calculated density is 7.54 g cm⁻³. The volume comes out at 11.99 Å³ per atom.



Here is a relaxed K4PPb crystal from the Alexandria database. Energies are from GGA-PBEsol.

Unit cell a=9.395 b=9.395 c=9.395 alpha=90.00 beta=90.00 gamma=90.00
Space group F-43m (No. 216)
Unique sites:
1 K 0.123 0.123 0.377
2 P 0.250 0.250 0.750
3 Pb 0.000 0.000 0.000

Calculated values
The final energy comes out at -1.935 eV/atom. The formation energy is 0.452 eV per atom. The value obtained for the calculated density is 3.16 g cm⁻³. The volume comes out at 34.55 Å³ per atom.



Here is a relaxed K3LiI crystal from the Alexandria database. Energies are from GGA-PBEsol.

Unit cell a=6.569 b=6.569 c=6.569 alpha=90.00 beta=90.00 gamma=90.00
Space group Pm-3m (No. 221)
Unique sites:
1 K 0.000 0.000 0.500
2 Li 0.000 0.000 0.000
3 I 0.500 0.500 0.500

Calculated values
The final energy comes out at -1.590 eV/atom. The value obtained for the calculated density is 1.47 g cm⁻³. The volume comes out at 56.71 Å³ per atom.